Run a
SrTcP: relaxed, PBE.

Lattice parameters (Å, degrees): 4.526 4.526 4.526 60.00 60.00 60.00
Fractional positions:
Sr: 0.000 0.000 0.000
Tc: 0.500 0.500 0.500
P: 0.250 0.250 0.250

Summary:
DOS at the Fermi energy = 0.81 states/eV per atom
Symmetry = F-43m
Size of the total moment = 0.413 μB/f.u.

Run b
SrTcP: relaxed, PBE.

Lattice parameters (Å, degrees): 6.051 6.051 6.051 148.94 148.94 44.50
Fractional positions:
Tc: 0.378 0.378 0.000
Sr: 0.666 0.666 0.000
P: 0.956 0.956 0.000

Summary:
DOS at the Fermi energy = 0.37 states/eV per atom
Symmetry = I4mm
Size of the total moment = 0.000 μB/f.u.

Run c
SrTcP: relaxed, PBE.

Lattice parameters (Å, degrees): 4.006 4.006 4.884 90.00 90.00 120.00
Fractional positions:
Sr: 0.667 0.333 0.000
Tc: 0.333 0.667 0.500
P: 0.000 0.000 0.500

Summary:
DOS at the Fermi energy = 0.43 states/eV per atom
Symmetry = P-6m2
Size of the total moment = 0.000 μB/f.u.

Tell me which of them is the least stable. Sure, it is run a.